CaZrCd2 | Alexandria via LeMat-Bulk | PBE | relaxed; total moment = 0.000 μB per atom; D(E_F) = 1.059 states/eV per atom; E = -3.13 eV/atom; DFT formation energy = -0.0354 eV/atom; space group = Cm, No. 8
1.0
11.621 0.000 0.000
0.000 3.177 0.000
-1.708 0.000 5.302
Ca Zr Cd
2 2 4
Cartesian
0.000 0.000 0.000 Ca
5.811 1.589 0.000 Ca
1.429 0.000 3.325 Zr
7.239 1.589 3.325 Zr
2.712 1.589 0.780 Cd
4.605 0.000 2.616 Cd
8.523 0.000 0.780 Cd
10.416 1.589 2.616 Cd